Below is Cs2TeBr6 at its PBEsol-relaxed geometry, with properties calculated at the SCAN level.

a = 10.873 Å, b = 10.873 Å, c = 10.873 Å
α = 90.00°, β = 90.00°, γ = 90.00°
Space group Fm-3m (No. 225)
Asymmetric unit:
Cs 0.250 0.250 0.250 (multiplicity 8)
Te 0.000 0.000 0.000 (multiplicity 4)
Br 0.000 0.000 0.249 (multiplicity 24)

Energy relative to the elements, uncorrected = -1223 meV per atom
Spin magnetization = 0.004 μB per cell


Below is Ca2SiN2 at its PBEsol-relaxed geometry, with properties calculated at the SCAN level.

a = 6.103 Å, b = 6.103 Å, c = 3.430 Å
α = 90.00°, β = 90.00°, γ = 90.00°
Space group P4/mbm (No. 127)
Asymmetric unit:
Ca 0.146 0.354 0.000 (multiplicity 4)
Si 0.000 0.000 0.500 (multiplicity 2)
N 0.178 0.678 0.500 (multiplicity 4)

Energy relative to the elements, uncorrected = -432 meV per atom
Spin magnetization = 0.000 μB per cell


Below is TiCoHgW2 at its PBEsol-relaxed geometry, with properties calculated at the SCAN level.

a = 4.451 Å, b = 4.451 Å, c = 4.396 Å
α = 90.00°, β = 90.00°, γ = 90.00°
Space group P4/mmm (No. 123)
Asymmetric unit:
Ti 0.000 0.000 0.000 (multiplicity 1)
Co 0.000 0.000 0.500 (multiplicity 1)
Hg 0.500 0.500 0.000 (multiplicity 1)
W 0.000 0.500 0.500 (multiplicity 2)

Energy of formation from the pure elements = 1.0249 eV per atom
Spin magnetization = 0.000 μB per cell


Below is Li2AlTc at its PBEsol-relaxed geometry, with properties calculated at the SCAN level.

a = 2.702 Å, b = 4.418 Å, c = 4.707 Å
α = 90.00°, β = 90.00°, γ = 90.00°
Space group Pmmm (No. 47)
Asymmetric unit:
Li 0.000 0.000 0.000 (multiplicity 1)
Li 0.500 0.500 0.000 (multiplicity 1)
Al 0.000 0.500 0.500 (multiplicity 1)
Tc 0.500 0.000 0.500 (multiplicity 1)

Energy of formation from the pure elements = -0.0538 eV per atom
Spin magnetization = 0.001 μB per cell


Below is YFe2Se at its PBEsol-relaxed geometry, with properties calculated at the SCAN level.

a = 8.880 Å, b = 3.368 Å, c = 4.540 Å
α = 90.00°, β = 104.18°, γ = 90.00°
Space group C2/m (No. 12)
Asymmetric unit:
Y 0.000 0.000 0.000 (multiplicity 2)
Fe 0.236 0.000 0.675 (multiplicity 4)
Se 0.000 0.500 0.500 (multiplicity 2)

Energy relative to the elements, uncorrected = -126 meV per atom
Spin magnetization = 9.454 μB per cell


Below is LiTc2N at its PBEsol-relaxed geometry, with properties calculated at the SCAN level.

a = 6.745 Å, b = 6.745 Å, c = 4.078 Å
α = 90.00°, β = 90.00°, γ = 90.00°
Space group I-42d (No. 122)
Asymmetric unit:
Li 0.000 0.000 0.000 (multiplicity 4)
Tc 0.144 0.750 0.625 (multiplicity 8)
N 0.000 0.000 0.500 (multiplicity 4)

Energy relative to the elements, uncorrected = 22 meV per atom
Spin magnetization = 0.000 μB per cell


Below is Li2CuSiO4 at its PBEsol-relaxed geometry, with properties calculated at the SCAN level.

a = 10.273 Å, b = 6.237 Å, c = 5.104 Å
α = 90.00°, β = 90.00°, γ = 90.00°
Space group Pnma (No. 62)
Asymmetric unit:
Li 0.173 0.014 0.208 (multiplicity 8)
Cu 0.083 0.750 0.824 (multiplicity 4)
Si 0.073 0.250 0.697 (multiplicity 4)
O 0.081 0.750 0.217 (multiplicity 4)
O 0.083 0.250 0.377 (multiplicity 4)
O 0.148 0.038 0.818 (multiplicity 8)

Energy relative to the elements, uncorrected = -2240 meV per atom
Spin magnetization = 4.006 μB per cell


Below is Mg2MnAl3S8 at its PBEsol-relaxed geometry, with properties calculated at the SCAN level.

a = 7.1744 Å, b = 7.1744 Å, c = 17.6046 Å
α = 90.00°, β = 90.00°, γ = 120.00°
Space group R-3m (No. 166, hexagonal axes)
Asymmetric unit:
Mg 0.0000 0.0000 0.1246 (multiplicity 6)
Mn 0.0000 0.0000 0.5000 (multiplicity 3)
Al 0.0000 0.5000 0.0000 (multiplicity 9)
S 0.0000 0.0000 0.2618 (multiplicity 6)
S 0.0321 0.5160 0.2547 (multiplicity 18)

Energy relative to the elements, uncorrected = -1315 meV per atom
Spin magnetization = 12.000 μB per cell


Please write out number 8 again, unchanged.
Below is Mg2MnAl3S8 at its PBEsol-relaxed geometry, with properties calculated at the SCAN level.

a = 7.1744 Å, b = 7.1744 Å, c = 17.6046 Å
α = 90.00°, β = 90.00°, γ = 120.00°
Space group R-3m (No. 166, hexagonal axes)
Asymmetric unit:
Mg 0.0000 0.0000 0.1246 (multiplicity 6)
Mn 0.0000 0.0000 0.5000 (multiplicity 3)
Al 0.0000 0.5000 0.0000 (multiplicity 9)
S 0.0000 0.0000 0.2618 (multiplicity 6)
S 0.0321 0.5160 0.2547 (multiplicity 18)

Energy relative to the elements, uncorrected = -1315 meV per atom
Spin magnetization = 12.000 μB per cell